Record 1
# Mg6CrSn | Alexandria via LeMat-Bulk | PBE | optimized geometry
# volume = 21.506 Å³/atom
# final energy = -22.64 eV per formula unit
# formation enthalpy at 0 K = 69 meV/atom
data_Mg6CrSn
_cell_length_a 6.306
_cell_length_b 6.306
_cell_length_c 5.053
_cell_angle_alpha 90.00
_cell_angle_beta 90.00
_cell_angle_gamma 121.09
_space_group_name_H-M_alt 'P 1'
_space_group_IT_number 1
_space_group_name_Hall 'P 1'
loop_
_atom_site_label
_atom_site_fract_x
_atom_site_fract_y
_atom_site_fract_z
_atom_site_occupancy
Mg1 0.331 0.166 0.500 1
Mg2 0.658 0.823 0.000 1
Mg3 0.834 0.669 0.500 1
Mg4 0.665 0.335 0.000 1
Mg5 0.177 0.342 0.000 1
Mg6 0.172 0.828 0.000 1
Cr1 0.332 0.668 0.500 1
Sn1 0.831 0.169 0.500 1

Record 2
# Er2In3Br9 | Alexandria via LeMat-Bulk | PBE | optimized geometry
# ΔE_f (raw) = -18.49 eV/f.u.
# volume = 38.052 Å³/atom
# final energy = -50.89 eV per formula unit
data_Er2In3Br9
_cell_length_a 10.267
_cell_length_b 10.267
_cell_length_c 10.267
_cell_angle_alpha 83.95
_cell_angle_beta 83.95
_cell_angle_gamma 83.95
_space_group_name_H-M_alt 'P 1'
_space_group_IT_number 1
_space_group_name_Hall 'P 1'
loop_
_atom_site_label
_atom_site_fract_x
_atom_site_fract_y
_atom_site_fract_z
_atom_site_occupancy
Br1 0.750 0.596 0.904 1
Br2 0.279 0.070 0.925 1
Br3 0.425 0.570 0.779 1
Br4 0.930 0.075 0.721 1
Br5 0.904 0.750 0.596 1
Br6 0.430 0.221 0.575 1
Br7 0.404 0.096 0.250 1
Br8 0.221 0.575 0.430 1
Br9 0.070 0.925 0.279 1
Br10 0.096 0.250 0.404 1
Br11 0.570 0.779 0.425 1
Br12 0.779 0.425 0.570 1
Br13 0.721 0.930 0.075 1
Br14 0.075 0.721 0.930 1
Br15 0.925 0.279 0.070 1
Br16 0.575 0.430 0.221 1
Br17 0.596 0.904 0.750 1
Br18 0.250 0.404 0.096 1
In1 0.470 0.750 0.030 1
In2 0.750 0.030 0.470 1
In3 0.970 0.530 0.250 1
In4 0.530 0.250 0.970 1
In5 0.030 0.470 0.750 1
In6 0.250 0.970 0.530 1
Er1 0.648 0.648 0.648 1
Er2 0.352 0.352 0.352 1
Er3 0.852 0.852 0.852 1
Er4 0.148 0.148 0.148 1

What is the volume in the first record? 21.506 Å³/atom